1.
First-principles (PBE) data for Li4AlCr after structural relaxation, as listed in Alexandria via LeMat-Bulk.

ΔE_f (eV/f.u.): 1.1

abc: 5.0713 5.0713 5.0713
angles: 60.00 60.00 60.00
Atoms (fractional coordinates):
Li (0.1249, 0.1249, 0.1249)
Li (0.1249, 0.1249, 0.6253)
Li (0.1249, 0.6253, 0.1249)
Li (0.6253, 0.1249, 0.1249)
Al (0.7500, 0.7500, 0.7500)
Cr (0.5000, 0.5000, 0.5000)

2.
First-principles (PBE) data for Cs2NpHg2I4 after structural relaxation, as listed in Alexandria via LeMat-Bulk.

abc: 8.1696 8.1696 8.1696
angles: 110.00 110.00 108.41
Atoms (fractional coordinates):
Cs (0.2500, 0.7500, 0.5000)
Cs (0.7500, 0.2500, 0.5000)
Np (0.0000, 0.0000, 0.0000)
Hg (0.3392, 0.3392, 0.0000)
Hg (0.6608, 0.6608, 0.0000)
I (0.2355, 0.2355, 0.4711)
I (0.2355, 0.7645, 0.0000)
I (0.7645, 0.2355, 0.0000)
I (0.7645, 0.7645, 0.5289)

3.
First-principles (PBE) data for Zr3Al4Ag2 after structural relaxation, as listed in Alexandria via LeMat-Bulk.

ΔE_f (eV/f.u.): -3.3

abc: 5.5232 5.5232 8.4193
angles: 115.44 115.44 48.03
Atoms (fractional coordinates):
Zr (0.0000, 0.0000, 0.0000)
Zr (0.3405, 0.3405, 0.3255)
Zr (0.6595, 0.6595, 0.6745)
Al (0.0622, 0.0622, 0.3937)
Al (0.2759, 0.2759, 0.9418)
Al (0.7241, 0.7241, 0.0582)
Al (0.9378, 0.9378, 0.6063)
Ag (0.3775, 0.3775, 0.7127)
Ag (0.6225, 0.6225, 0.2873)

4.
First-principles (PBE) data for KLiCaI4 after structural relaxation, as listed in Alexandria via LeMat-Bulk.

abc: 7.6443 8.1560 9.5536
angles: 90.00 107.55 90.00
Atoms (fractional coordinates):
K (0.2259, 0.2500, 0.0495)
K (0.7741, 0.7500, 0.9505)
Li (0.2475, 0.7500, 0.3287)
Li (0.7525, 0.2500, 0.6713)
Ca (0.2148, 0.2500, 0.5531)
Ca (0.7852, 0.7500, 0.4469)
I (0.0076, 0.5016, 0.7155)
I (0.0076, 0.9984, 0.7155)
I (0.4603, 0.7500, 0.1494)
I (0.4815, 0.7500, 0.6013)
I (0.5185, 0.2500, 0.3987)
I (0.5397, 0.2500, 0.8506)
I (0.9924, 0.0016, 0.2845)
I (0.9924, 0.4984, 0.2845)

5.
First-principles (PBE) data for La5Pm12Pr2 after structural relaxation, as listed in Alexandria via LeMat-Bulk.

ΔE_f (eV/f.u.): 2.0

abc: 8.9035 8.9035 9.6253
angles: 109.31 109.31 83.40
Atoms (fractional coordinates):
La (0.0000, 0.0000, 0.0000)
La (0.1941, 0.1941, 0.8289)
La (0.3140, 0.3140, 0.2704)
La (0.6860, 0.6860, 0.7296)
La (0.8059, 0.8059, 0.1711)
Pm (0.0533, 0.5576, 0.6933)
Pm (0.1211, 0.1211, 0.4439)
Pm (0.1715, 0.6180, 0.0801)
Pm (0.3820, 0.8285, 0.9199)
Pm (0.4233, 0.4233, 0.7165)
Pm (0.4424, 0.9467, 0.3067)
Pm (0.5576, 0.0533, 0.6933)
Pm (0.5767, 0.5767, 0.2835)
Pm (0.6180, 0.1715, 0.0801)
Pm (0.8285, 0.3820, 0.9199)
Pm (0.8789, 0.8789, 0.5561)
Pm (0.9467, 0.4424, 0.3067)
Pr (0.2640, 0.7360, 0.5000)
Pr (0.7360, 0.2640, 0.5000)

6.
First-principles (PBE) data for TmScCoNi after structural relaxation, as listed in Alexandria via LeMat-Bulk.

ΔE_f (eV/f.u.): -1.5

abc: 4.5649 4.5649 4.5649
angles: 60.00 60.00 60.00
Atoms (fractional coordinates):
Tm (0.0000, 0.0000, 0.0000)
Sc (0.5000, 0.5000, 0.5000)
Co (0.7500, 0.7500, 0.7500)
Ni (0.2500, 0.2500, 0.2500)

7.
First-principles (PBE) data for ScMn after structural relaxation, as listed in Alexandria via LeMat-Bulk.

ΔE_f (eV/f.u.): 3.2

abc: 4.2115 4.2115 4.2115
angles: 60.00 60.00 60.00
Atoms (fractional coordinates):
Sc (0.0000, 0.0000, 0.0000)
Mn (0.2500, 0.2500, 0.2500)

8.
First-principles (PBE) data for Ce2TlS after structural relaxation, as listed in Alexandria via LeMat-Bulk.

abc: 8.6675 8.6675 8.6675
angles: 26.00 26.00 26.00
Atoms (fractional coordinates):
Ce (0.0000, 0.0000, 0.0000)
Ce (0.2024, 0.2024, 0.2024)
Tl (0.4341, 0.4341, 0.4341)
S (0.6015, 0.6015, 0.6015)

9.
First-principles (PBE) data for Pm2HfScPt2 after structural relaxation, as listed in Alexandria via LeMat-Bulk.

ΔE_f (eV/f.u.): -5.3

abc: 8.2807 8.2807 8.2807
angles: 133.51 67.79 133.59
Atoms (fractional coordinates):
Pm (0.1862, 0.2459, 0.4321)
Pm (0.3138, 0.7459, 0.0596)
Pm (0.6862, 0.2541, 0.9404)
Pm (0.8138, 0.7541, 0.5679)
Hf (0.2500, 0.7500, 0.5000)
Hf (0.7500, 0.2500, 0.5000)
Sc (0.2500, 0.2500, 0.0000)
Sc (0.7500, 0.7500, 0.0000)
Pt (0.1046, 0.7427, 0.8473)
Pt (0.3954, 0.2427, 0.6382)
Pt (0.6046, 0.7573, 0.3618)
Pt (0.8954, 0.2573, 0.1527)

10.
First-principles (PBE) data for LiTmIrRh after structural relaxation, as listed in Alexandria via LeMat-Bulk.

ΔE_f (eV/f.u.): -1.9

abc: 4.5122 4.5122 4.5122
angles: 60.00 60.00 60.00
Atoms (fractional coordinates):
Li (0.0000, 0.0000, 0.0000)
Tm (0.5000, 0.5000, 0.5000)
Ir (0.7500, 0.7500, 0.7500)
Rh (0.2500, 0.2500, 0.2500)

11.
First-principles (PBE) data for BaLa2AlOs after structural relaxation, as listed in Alexandria via LeMat-Bulk.

ΔE_f (eV/f.u.): -0.5

abc: 5.6290 5.6290 5.1272
angles: 90.00 90.00 90.00
Atoms (fractional coordinates):
Ba (0.0000, 0.0000, 0.0000)
La (0.0000, 0.5000, 0.5000)
La (0.5000, 0.0000, 0.5000)
Al (0.5000, 0.5000, 0.0000)
Os (0.5000, 0.5000, 0.5000)

12.
First-principles (PBE) data for Pm6Dy3Y2Ho after structural relaxation, as listed in Alexandria via LeMat-Bulk.

ΔE_f (eV/f.u.): 0.1

abc: 6.2488 6.2488 11.8516
angles: 95.02 95.02 119.99
Atoms (fractional coordinates):
Pm (0.0837, 0.4162, 0.7504)
Pm (0.2488, 0.2488, 0.2495)
Pm (0.4162, 0.0837, 0.7504)
Pm (0.5838, 0.9163, 0.2496)
Pm (0.7512, 0.7512, 0.7505)
Pm (0.9163, 0.5838, 0.2496)
Dy (0.1667, 0.8333, 0.0000)
Dy (0.5000, 0.5000, 0.0000)
Dy (0.8333, 0.1667, 0.0000)
Y (0.3334, 0.6666, 0.5000)
Y (0.6666, 0.3334, 0.5000)
Ho (0.0000, 0.0000, 0.5000)

no.,energy (eV/atom)
1,-3.314
2,-3.226
3,-5.510
4,-3.015
5,-4.693
6,-6.287
7,-6.149
8,-5.605
9,-7.194
10,-6.120
11,-5.454
12,-4.973